## HfGaCuIr (PBE)

Data for a relaxed structure of HfGaCuIr. Values from VASP.

Results
**N(E_F)**: 3.445 states/eV/f.u.
**Electronic total energy**: -7.01 eV per atom
**Total magnetic moment**: 0.0 μB per formula unit

The structure in Quantum ESPRESSO input format:
```
&SYSTEM
  ibrav = 0, nat = 4, ntyp = 4
/
ATOMIC_SPECIES
Hf 178.49 Hf.upf
Ga 69.72 Ga.upf
Cu 63.55 Cu.upf
Ir 192.22 Ir.upf
CELL_PARAMETERS angstrom
0.0000 3.1530 3.1530
3.1530 0.0000 3.1530
3.1530 3.1530 0.0000
ATOMIC_POSITIONS angstrom
Hf 0.0000 0.0000 0.0000
Ga 3.1530 3.1530 3.1530
Cu 1.5765 1.5765 1.5765
Ir 4.7296 4.7296 4.7296
```